The following is a PBE calculation of crystalline NdSmCu2Si2 at its relaxed geometry, from OQMD via LeMat-Bulk.

It has space group P-3m1 (No. 164), with a = 4.2042 Å, b = 4.2042 Å, c = 7.8968 Å, α = 90.00°, β = 90.00° and γ = 120.00°. The inequivalent atoms are Nd at (0.0000, 0.0000, 0.0000), Sm at (0.0000, 0.0000, 0.5000), Cu at (0.3333, 0.6667, 0.2533) and Si at (0.3333, 0.6667, 0.7458).

As for the calculated density: 6.6 g/cm3. The volume is 20.15 A^3/atom. The calculation puts the electronic total energy at -31.5 eV/f.u.



The following is a PBE calculation of crystalline KNdAu3O4 at its relaxed geometry, from OQMD via LeMat-Bulk.

It has space group P-43m (No. 215), with a = 5.752 Å, b = 5.752 Å, c = 5.752 Å, α = 90.00°, β = 90.00° and γ = 90.00°. The inequivalent atoms are K at (0.000, 0.000, 0.000), Nd at (0.500, 0.500, 0.500), Au at (0.000, 0.500, 0.500) and O at (0.272, 0.272, 0.272).

As for the calculated density: 7.3 g/cm3. The volume is 21.14 A^3/atom. The calculation puts the electronic total energy at -40.3 eV/f.u.



The following is a PBE calculation of crystalline Hg3Bi2S2Cl8 at its relaxed geometry, from OQMD via LeMat-Bulk.

It has space group C2/m (No. 12), with a = 13.154 Å, b = 7.520 Å, c = 9.413 Å, α = 90.00°, β = 117.24° and γ = 90.00°. The inequivalent atoms are Hg at (0.000, 0.000, 0.000), Hg at (0.250, 0.250, 0.000), Bi at (0.130, 0.500, 0.431), S at (0.123, 0.000, 0.872), Cl at (0.000, 0.261, 0.500), Cl at (0.049, 0.500, 0.852) and Cl at (0.194, 0.233, 0.291).

As for the calculated density: 5.5 g/cm3. The volume is 27.60 A^3/atom. The calculation puts the electronic total energy at -42.6 eV/f.u.



The following is a PBE calculation of crystalline KMoAu3Se4 at its relaxed geometry, from OQMD via LeMat-Bulk.

It has space group P-43m (No. 215), with a = 6.447 Å, b = 6.447 Å, c = 6.447 Å, α = 90.00°, β = 90.00° and γ = 90.00°. The inequivalent atoms are K at (0.000, 0.000, 0.000), Mo at (0.500, 0.500, 0.500), Au at (0.000, 0.500, 0.500) and Se at (0.281, 0.281, 0.281).

As for the calculated density: 6.5 g/cm3. The volume is 29.78 A^3/atom. The calculation puts the electronic total energy at -37.6 eV/f.u.



The following is a PBE calculation of crystalline LuBeInPd at its relaxed geometry, from OQMD via LeMat-Bulk.

It has space group F-43m (No. 216), with a = 6.569 Å, b = 6.569 Å, c = 6.569 Å, α = 90.00°, β = 90.00° and γ = 90.00°. The inequivalent atoms are Lu at (0.000, 0.000, 0.000), Be at (0.250, 0.250, 0.750), In at (0.000, 0.000, 0.500) and Pd at (0.250, 0.250, 0.250).

As for the calculated density: 9.5 g/cm3. The calculation puts the energy relative to the lowest polymorph listed for this composition at 0 meV per atom. The volume is 17.71 A^3/atom. The calculation puts the electronic total energy at -17.7 eV/f.u.



The following is a PBE calculation of crystalline CsCuTcTeS2 at its relaxed geometry, from OQMD via LeMat-Bulk.

It has space group Cmcm (No. 63), with a = 3.685 Å, b = 16.940 Å, c = 9.962 Å, α = 90.00°, β = 90.00° and γ = 90.00°. The inequivalent atoms are Cs at (0.000, 0.219, 0.250), Cu at (0.000, 0.471, 0.750), Tc at (0.000, 0.000, 0.000), Te at (0.000, 0.079, 0.750) and S at (0.000, 0.407, 0.552).

As for the calculated density: 5.2 g/cm3. The volume is 25.91 A^3/atom. The calculation puts the electronic total energy at -28.9 eV/f.u.